This record from Alexandria via LeMat-Bulk describes a geometry-optimized KY2Mg structure. The functional is PBEsol.

a = 7.090 Å, b = 7.090 Å, c = 3.361 Å
α = 101.67°, β = 101.67°, γ = 121.85°
Sites, in units of the cell vectors:
K  0.000  0.000  0.000
Y  0.000  0.500  0.500
Y  0.500  0.000  0.500
Mg  0.500  0.500  0.000

Results
D(E_F): 5.03 states/eV/cell
Formation energy: 0.378 eV/atom